# 1
Computed, not measured: Sr2ReAg at its PBEsol-relaxed geometry at the SCAN level of DFT.

Its formation energy is 0.82 eV per atom. The polymorph energy (0 for the lowest one) is 0.078 eV/atom. For the theoretical density, the calculation gives 7.0 g/cm³. The density of states at the Fermi level is 3.13 states/eV/cell. Its size of the total moment is 1.71 μB/f.u.

The structure belongs to space group P4mm (No. 99); the cell edges are 3.5641, 3.5641 and 8.7593 Å and the angles 90.00°, 90.00° and 90.00°. Symmetry generates all atoms from Sr at (0.0000, 0.0000, 0.0000), Sr at (0.5000, 0.5000, 0.4148), Re at (0.5000, 0.5000, 0.7598) and Ag at (0.0000, 0.0000, 0.6483).


# 2
Computed, not measured: SrReAg at its PBEsol-relaxed geometry at the SCAN level of DFT.

Its formation energy is 1.39 eV per atom. The polymorph energy (0 for the lowest one) is 0.000 eV/atom. For the theoretical density, the calculation gives 8.2 g/cm³. The density of states at the Fermi level is 10.61 states/eV/cell. Its size of the total moment is 3.29 μB/f.u.

The structure belongs to space group F-43m (No. 216); the cell edges are 6.7550, 6.7550 and 6.7550 Å and the angles 90.00°, 90.00° and 90.00°. Symmetry generates all atoms from Sr at (0.0000, 0.0000, 0.0000), Re at (0.0000, 0.0000, 0.5000) and Ag at (0.2500, 0.2500, 0.2500).


# 3
Computed, not measured: SrRe2Ag at its PBEsol-relaxed geometry at the SCAN level of DFT.

Its formation energy is 1.06 eV per atom. The polymorph energy (0 for the lowest one) is 0.091 eV/atom. For the theoretical density, the calculation gives 13.2 g/cm³. The density of states at the Fermi level is 15.92 states/eV/cell. Its size of the total moment is 0.00 μB/f.u.

The structure belongs to space group F-43m (No. 216); the cell edges are 6.5902, 6.5902 and 6.5902 Å and the angles 90.00°, 90.00° and 90.00°. Symmetry generates all atoms from Sr at (0.0000, 0.0000, 0.0000), Re at (0.0000, 0.0000, 0.5000), Re at (0.2500, 0.2500, 0.2500) and Ag at (0.2500, 0.2500, 0.7500).


# 4
Computed, not measured: Sr2ReAg at its PBEsol-relaxed geometry at the SCAN level of DFT.

Its formation energy is 0.74 eV per atom. The polymorph energy (0 for the lowest one) is 0.000 eV/atom. For the theoretical density, the calculation gives 8.0 g/cm³. The density of states at the Fermi level is 2.37 states/eV/cell. Its size of the total moment is 0.00 μB/f.u.

The structure belongs to space group Pmmm (No. 47); the cell edges are 3.0237, 3.6895 and 8.6792 Å and the angles 90.00°, 90.00° and 90.00°. Symmetry generates all atoms from Sr at (0.0000, 0.0000, 0.2351), Re at (0.5000, 0.5000, 0.0000) and Ag at (0.5000, 0.5000, 0.5000).


# 5
Computed, not measured: SrRe2Ag at its PBEsol-relaxed geometry at the SCAN level of DFT.

Its formation energy is 0.97 eV per atom. The polymorph energy (0 for the lowest one) is 0.000 eV/atom. For the theoretical density, the calculation gives 13.2 g/cm³. The density of states at the Fermi level is 4.60 states/eV/cell. Its size of the total moment is 0.00 μB/f.u.

The structure belongs to space group C2/m (No. 12); the cell edges are 5.4775, 10.3304 and 2.7038 Å and the angles 90.00°, 110.45° and 90.00°. Symmetry generates all atoms from Sr at (0.0000, 0.0000, 0.0000), Re at (0.2500, 0.2500, 0.5000) and Ag at (0.0000, 0.5000, 0.0000).


# 6
Computed, not measured: Sr3ReAg at its PBEsol-relaxed geometry at the SCAN level of DFT.

Its formation energy is 1.11 eV per atom. For the theoretical density, the calculation gives 4.8 g/cm³. The density of states at the Fermi level is 3.97 states/eV/cell. Its size of the total moment is 3.80 μB/f.u.

The structure belongs to space group Pm-3m (No. 221); the cell edges are 5.7867, 5.7867 and 5.7867 Å and the angles 90.00°, 90.00° and 90.00°. Symmetry generates all atoms from Sr at (0.0000, 0.0000, 0.5000), Re at (0.5000, 0.5000, 0.5000) and Ag at (0.0000, 0.0000, 0.0000).


> Look up the theoretical density of the fourth one.

8.0 g/cm³


> Which formula does entry 1 have?

Sr2ReAg


> Among the records above, which one has the lowest theoretical density?

Sr3ReAg


> What is the formula in the second record?

SrReAg